1.
DFT (GGA-PBE) results for an optimized crystal structure of FePtSe2.

Cell lengths 3.158, 3.158, 6.367 Å; angles 90.00, 90.00, 90.00 degrees
Element x y z (fractional)
Fe: 0.000 0.000 0.000
Pt: 0.000 0.000 0.500
Se: 0.500 0.500 0.230
Se: 0.500 0.500 0.770

Results
**V**: 15.87 Å³/atom
**E above lowest polymorph**: 0.397 eV per atom
**Uncorrected formation energy**: 215 meV/atom

---

2.
DFT (GGA-PBE) results for an optimized crystal structure of ScZn2Co.

Cell lengths 8.786, 8.786, 8.786 Å; angles 19.10, 19.10, 19.10 degrees
Element x y z (fractional)
Sc: 0.000 0.000 0.000
Zn: 0.239 0.239 0.239
Zn: 0.761 0.761 0.761
Co: 0.500 0.500 0.500

Results
**V**: 15.87 Å³/atom
**Energy of formation**: 0.112 eV/atom

---

3.
DFT (GGA-PBE) results for an optimized crystal structure of KSn2AsO8.

Cell lengths 4.426, 6.960, 4.932 Å; angles 90.00, 93.37, 90.00 degrees
Element x y z (fractional)
K: 0.000 0.000 0.000
Sn: 0.500 0.268 0.500
Sn: 0.500 0.732 0.500
As: 0.000 0.500 0.000
O: 0.230 0.307 0.154
O: 0.230 0.693 0.154
O: 0.246 0.500 0.678
O: 0.253 0.000 0.533
O: 0.747 0.000 0.467
O: 0.754 0.500 0.322
O: 0.770 0.307 0.846
O: 0.770 0.693 0.846

Results
**V**: 12.64 Å³/atom
**Uncorrected formation energy**: -1033 meV/atom

---

4.
DFT (GGA-PBE) results for an optimized crystal structure of SnP.

Cell lengths 7.376, 7.376, 7.376 Å; angles 109.47, 109.47, 109.47 degrees
Element x y z (fractional)
Sn: 0.000 0.000 0.304
Sn: 0.000 0.304 0.000
Sn: 0.304 0.000 0.000
Sn: 0.696 0.696 0.696
P: 0.000 0.000 0.678
P: 0.000 0.678 0.000
P: 0.322 0.322 0.322
P: 0.678 0.000 0.000

Results
**V**: 38.61 Å³/atom
**Energy of formation**: 0.333 eV/atom